1.
This record from the Alexandria database describes crystalline Ti3NbH at its relaxed geometry. The functional is PBE.

Properties
The distance to the lowest polymorph of the same formula is 15 meV/atom. The crystal system is cubic. The value obtained for the magnetic moment is 0.0 μB per cell.

a b c (Å): 4.145 4.145 4.145
angles (deg): 90.00 90.00 90.00
Space group Pm-3m (No. 221)
Unique sites:
Ti1 0.000 0.000 0.500 [3 per cell]
Nb1 0.500 0.500 0.500 [1 per cell]
H1 0.000 0.000 0.000 [1 per cell]


2.
This record from the Alexandria database describes crystalline Ho3Mn5Te12 at its relaxed geometry. The functional is PBE.

Properties
The uncorrected formation energy comes out at -0.516 eV per atom. The crystal system is cubic. The value obtained for the magnetic moment is 160.0 μB per cell.

a b c (Å): 16.939 16.939 16.939
angles (deg): 90.00 90.00 90.00
Space group Ia-3d (No. 230)
Unique sites:
Ho1 0.000 0.250 0.125 [24 per cell]
Mn1 0.000 0.000 0.000 [16 per cell]
Mn2 0.000 0.250 0.375 [24 per cell]
Te1 0.025 0.062 0.649 [96 per cell]


no.,VASP energy (eV per atom),calculated volume (Å³/atom)
1,-7.49,14.247
2,-5.38,30.376